Computed, not measured: crystalline Sr2CdOsC at its relaxed geometry at the PBE level of DFT.

## Properties
ΔE_f (eV per formula unit): 2.081
E_tot (eV/atom): -4.530
Polymorph energy (0 for the lowest one) (eV/atom): 0.364

Cell: 5.950 5.950 3.954 Å, 90.00 90.00 90.00°
Space group P4/mmm (No. 123)
Symmetry-distinct sites (fractional):
Sr: 0.000 0.500 0.000 x2
Cd: 0.000 0.000 0.500 x1
Os: 0.500 0.500 0.000 x1
C: 0.500 0.500 0.500 x1